## 1
8
Lattice="2.850 0.000 0.000 0.000 5.125 0.000 0.000 0.000 9.976" Properties=species:S:1:pos:R:3 comment="PBE-GGA ReHg2Pt, optimized geometry" dos_ef_per_ev_fu=3.06 crystal_system=orthorhombic pbc="T T T"
Re 0.000 0.000 0.000
Re 1.425 2.563 4.988
Hg 0.000 2.563 2.487
Hg 0.000 2.563 7.489
Hg 1.425 0.000 2.501
Hg 1.425 0.000 7.475
Pt 0.000 0.000 4.988
Pt 1.425 2.563 0.000

## 2
4
Lattice="2.872 0.000 0.000 0.000 2.872 0.000 0.000 0.000 8.675" Properties=species:S:1:pos:R:3 comment="PBE-GGA ReHg2Pt, optimized geometry" dos_ef_per_ev_fu=3.38 crystal_system=tetragonal pbc="T T T"
Re 0.000 0.000 0.000
Hg 1.436 1.436 2.198
Hg 1.436 1.436 6.476
Pt 0.000 0.000 4.337

## 3
8
Lattice="2.793 0.000 0.000 0.000 4.936 0.000 0.000 0.000 11.378" Properties=species:S:1:pos:R:3 comment="PBE-GGA ReHg2Pt, optimized geometry" dos_ef_per_ev_fu=2.04 crystal_system=orthorhombic pbc="T T T"
Re 0.000 0.000 0.000
Re 1.397 2.468 5.689
Hg 0.000 0.000 6.065
Hg 0.000 2.468 8.335
Hg 1.397 0.000 2.646
Hg 1.397 2.468 0.376
Pt 0.000 2.468 3.502
Pt 1.397 0.000 9.190

Relative energies, unit eV/atom: 1 0.081; 2 0.102; 3 0.000

## 1
8
Lattice="5.991 0.000 0.000 0.000 8.483 0.000 0.000 0.000 2.814" Properties=species:S:1:pos:R:3 comment="PBE-GGA ReHg2Pt, optimized geometry" dos_ef_per_ev_fu=3.28 crystal_system=orthorhombic pbc="T T T"
Re 0.000 0.000 0.000
Re 2.995 4.241 0.000
Hg 1.498 2.121 1.407
Hg 1.498 6.362 1.407
Hg 4.493 2.121 1.407
Hg 4.493 6.362 1.407
Pt 0.000 4.241 0.000
Pt 2.995 0.000 0.000

## 2
4
Lattice="2.891 0.000 0.000 0.000 2.891 0.000 0.000 0.000 8.842" Properties=species:S:1:pos:R:3 comment="PBE-GGA ReHg2Pt, optimized geometry" dos_ef_per_ev_fu=3.34 crystal_system=tetragonal pbc="T T T"
Re 0.000 0.000 0.000
Hg 0.000 0.000 4.825
Hg 1.445 1.445 2.205
Pt 1.445 1.445 7.107

## 3
16
Lattice="3.966 0.000 0.000 0.000 3.966 0.000 0.000 0.000 20.239" Properties=species:S:1:pos:R:3 comment="PBE-GGA ReHg2Pt, optimized geometry" dos_ef_per_ev_fu=3.49 crystal_system=tetragonal pbc="T T T"
Re 0.000 0.000 0.000
Re 0.000 1.983 5.060
Re 1.983 0.000 15.179
Re 1.983 1.983 10.120
Hg 0.985 0.991 2.530
Hg 0.991 2.968 7.590
Hg 0.991 2.981 17.709
Hg 0.998 0.991 12.649
Hg 2.968 2.974 12.649
Hg 2.974 0.985 17.709
Hg 2.974 0.998 7.590
Hg 2.981 2.974 2.530
Pt 0.000 0.000 10.120
Pt 0.000 1.983 15.179
Pt 1.983 0.000 5.060
Pt 1.983 1.983 0.000

## 4
12
Lattice="2.949 0.000 0.000 -1.474 2.554 0.000 0.000 0.000 28.378" Properties=species:S:1:pos:R:3 comment="PBE-GGA ReHg2Pt, optimized geometry" dos_ef_per_ev_fu=2.25 crystal_system=trigonal pbc="T T T"
Re 0.000 0.000 0.000
Re 0.000 1.702 18.919
Re 1.474 0.851 9.459
Hg 0.000 0.000 7.096
Hg 0.000 0.000 21.283
Hg 0.000 1.702 11.823
Hg 0.000 1.702 26.014
Hg 1.474 0.851 2.364
Hg 1.474 0.851 16.555
Pt 0.000 0.000 14.189
Pt 0.000 1.702 4.730
Pt 1.474 0.851 23.648

Relative energies, unit eV/atom: 1 0.300; 2 0.000; 3 0.549; 4 0.199

## 1
4
Lattice="2.835 0.000 0.000 0.000 4.224 0.000 0.000 0.000 5.987" Properties=species:S:1:pos:R:3 comment="PBE-GGA ReHg2Pt, optimized geometry" dos_ef_per_ev_fu=4.04 crystal_system=orthorhombic pbc="T T T"
Re 0.000 0.000 0.000
Hg 1.417 2.112 1.484
Hg 1.417 2.112 4.504
Pt 0.000 0.000 2.994

## 2
12
Lattice="2.931 0.000 0.000 -1.466 2.539 0.000 0.000 0.000 29.889" Properties=species:S:1:pos:R:3 comment="PBE-GGA ReHg2Pt, optimized geometry" dos_ef_per_ev_fu=4.19 crystal_system=trigonal pbc="T T T"
Re 0.000 0.000 0.000
Re 0.000 1.692 19.926
Re 1.466 0.846 9.963
Hg 0.000 0.000 15.402
Hg 0.000 0.000 22.410
Hg 0.000 1.692 5.439
Hg 0.000 1.692 12.447
Hg 1.466 0.846 2.484
Hg 1.466 0.846 25.365
Pt 0.000 0.000 7.917
Pt 0.000 1.692 27.843
Pt 1.466 0.846 17.880

Relative energies, unit eV/atom: 1 0.326; 2 0.000

## 1
3
Lattice="2.880 0.000 0.000 -1.440 2.494 0.000 0.000 0.000 7.079" Properties=species:S:1:pos:R:3 comment="PBE-GGA ReHgPt, optimized geometry" dos_ef_per_ev_fu=2.61 crystal_system=trigonal pbc="T T T"
Re 0.000 0.000 0.000
Hg 1.440 0.831 2.495
Pt 0.000 1.663 4.982

## 2
12
Lattice="6.182 0.000 0.000 0.000 6.182 0.000 0.000 0.000 6.182" Properties=species:S:1:pos:R:3 comment="PBE-GGA ReHgPt, optimized geometry" dos_ef_per_ev_fu=2.82 crystal_system=cubic pbc="T T T"
Re 0.000 0.000 0.000
Re 0.000 3.091 3.091
Re 3.091 0.000 3.091
Re 3.091 3.091 0.000
Hg 0.000 0.000 3.091
Hg 0.000 3.091 0.000
Hg 3.091 0.000 0.000
Hg 3.091 3.091 3.091
Pt 1.545 1.545 4.636
Pt 1.545 4.636 1.545
Pt 4.636 1.545 1.545
Pt 4.636 4.636 4.636

Relative energies, unit eV/atom: 1 0.000; 2 0.483

## 1
10
Lattice="7.744 0.000 0.000 0.000 7.744 0.000 0.000 0.000 2.805" Properties=species:S:1:pos:R:3 comment="PBE-GGA HgPt2Rh2, optimized geometry" dos_ef_per_ev_fu=8.97 crystal_system=tetragonal pbc="T T T"
Hg 0.000 0.000 0.000
Hg 3.872 3.872 0.000
Pt 1.340 2.532 1.403
Pt 2.532 6.404 1.403
Pt 5.212 1.340 1.403
Pt 6.404 5.212 1.403
Rh 0.961 4.833 0.000
Rh 2.911 0.961 0.000
Rh 4.833 6.783 0.000
Rh 6.783 2.911 0.000

## 2
10
Lattice="3.746 0.000 0.000 0.000 3.746 0.000 0.000 0.000 12.613" Properties=species:S:1:pos:R:3 comment="PBE-GGA HgPt2Rh2, optimized geometry" dos_ef_per_ev_fu=6.20 crystal_system=tetragonal pbc="T T T"
Hg 0.000 0.000 0.000
Hg 1.873 1.873 6.306
Pt 0.000 1.873 3.153
Pt 0.000 1.873 9.460
Pt 1.873 0.000 3.153
Pt 1.873 0.000 9.460
Rh 0.000 0.000 5.060
Rh 0.000 0.000 7.553
Rh 1.873 1.873 1.247
Rh 1.873 1.873 11.366

Relative energies, unit eV/atom: 1 0.000; 2 0.077

## 1
5
Lattice="5.108 0.000 0.000 0.000 5.108 0.000 0.000 0.000 5.108" Properties=species:S:1:pos:R:3 comment="PBE-GGA Hg3PtRh, optimized geometry" dos_ef_per_ev_fu=5.17 crystal_system=cubic pbc="T T T"
Hg 0.000 0.000 2.554
Hg 0.000 2.554 0.000
Hg 2.554 0.000 0.000
Pt 2.554 2.554 2.554
Rh 0.000 0.000 0.000

## 2
5
Lattice="5.172 0.000 0.000 0.000 5.172 0.000 0.000 0.000 5.172" Properties=species:S:1:pos:R:3 comment="PBE-GGA Hg3PtRh, optimized geometry" dos_ef_per_ev_fu=5.64 crystal_system=cubic pbc="T T T"
Hg 0.000 0.000 2.586
Hg 0.000 2.586 0.000
Hg 2.586 0.000 0.000
Pt 0.000 0.000 0.000
Rh 2.586 2.586 2.586

Relative energies, unit eV/atom: 1 0.088; 2 0.000